# PdI2O2, optimized geometry, DFT PBE
data_PdI2O2
_chemical_formula_sum 'Pd1 I2 O2'
_symmetry_space_group_name_H-M 'P 4/m m m'
_symmetry_Int_Tables_number 123
_symmetry_space_group_name_Hall '-P 4 2'
_cell_length_a 5.510
_cell_length_b 5.510
_cell_length_c 3.799
_cell_angle_alpha 90.00
_cell_angle_beta 90.00
_cell_angle_gamma 90.00
loop_
_atom_site_label
_atom_site_fract_x
_atom_site_fract_y
_atom_site_fract_z
_atom_site_occupancy
Pd1 0.000 0.000 0.000 1
I1 0.000 0.500 0.000 1
O1 0.000 0.000 0.500 1
O2 0.500 0.500 0.500 1
# - E above lowest polymorph (meV/atom) = 606.6
# - spin magnetization (μB per formula unit) = 1.1
# - E_form (uncorrected) (meV per atom) = 720